Cs2AcSb2O7 | PBE | optimized geometry

Cell lengths 12.4843, 12.4843, 12.4843 Å; angles 160.64, 160.64, 27.51 degrees
Last column: nearest neighbours and their distance in Å.
Element x y z (fractional)
Cs 0.1915 0.1915 0.0000  4 O 3.02
Cs 0.8085 0.8085 0.0000  4 O 3.02
Ac 0.0000 0.0000 0.0000  12 O 2.77-2.97
Sb 0.4109 0.4109 0.0000  6 O 1.93-2.16
Sb 0.5891 0.5891 0.0000  6 O 1.93-2.16
O 0.0744 0.5744 0.5000  2 Sb 2.13
O 0.3313 0.3313 0.0000  1 Sb 1.93
O 0.4256 0.9256 0.5000  2 Sb 2.13
O 0.5000 0.5000 0.0000  2 Sb 2.16
O 0.5744 0.0744 0.5000  2 Sb 2.13
O 0.6687 0.6687 0.0000  1 Sb 1.93
O 0.9256 0.4256 0.5000  2 Sb 2.13

Summary:
- Formation energy without anion corrections: -1901 meV per atom
- M_tot: 0.0 Bohr magnetons per cell
- Calculated density: 6.59 g cm⁻³
- SG: No. 139
- Volume: 17.8 A^3/atom